## NaAcEr (PBE)

Data for an optimized crystal structure of NaAcEr.

Results
Excess energy over the best structure of this formula in the dataset: 116.0 meV per atom
N(E_F): 4.28 states/eV/cell
SG: I4mm, No. 107
Total DFT energy (no corrections): -3.143 eV/atom
Energy relative to the elements: 187 meV/atom

Lattice parameters (Å, degrees): 3.728 3.728 8.599 102.52 102.52 90.00
Atoms (fractional coordinates):
Ac: 0.324 0.324 0.648
Er: 0.669 0.669 0.338
Na: 0.007 0.007 0.014